Computed, not measured: an optimized crystal structure of HfInI2 at the PBE level of DFT.

Unit cell a=10.183 b=10.183 c=5.939 alpha=90.00 beta=90.00 gamma=90.00
Space group I-42d (No. 122)
Unique sites:
Hf 0.000 0.000 0.000 x4
In 0.000 0.000 0.500 x4
I 0.107 0.750 0.125 x8

Values from the calculation:
Density (g cm⁻³): 5.9
ΔE_f (raw) (eV/atom): -0.0342
Energy relative to the lowest polymorph listed for this composition (meV per atom): 0.0